{
  "formula": "Sr2CoMo",
  "functional": "PBE",
  "state": "optimized geometry",
  "total_magnetization_mub_per_fu": 4.47,
  "rho_g_cm3": 5.1,
  "delta_e_f_mev_per_atom": 1124,
  "e_above_lowest_polymorph_mev_per_atom": 583.8,
  "total_energy_ev_per_cell": -16.80,
  "lattice_angstrom": [[-6.896, -3.896, -0.426], [4.034, -0.517, -3.476], [0.005, -3.733, 0.564]],
  "species": ["Co", "Mo", "Sr", "Sr"],
  "fractional_positions": [[0.000, 0.500, 0.500], [0.500, 0.500, 0.000], [0.000, 0.000, 0.000], [0.500, 0.000, 0.500]]
}